1.
VASP calculation (PBEsol) on an optimized crystal structure of Th2Au.

- energy relative to the elements (kJ/mol of formula units) = -124
- M_tot (μB per formula unit) = 0.000
- N(E_F) (states/eV/atom) = 1.206

Lattice parameters (Å, degrees): 7.392 7.392 5.876 90.00 90.00 90.00
Space group I4/mcm (No. 140)
Symmetry-distinct sites (fractional):
Th: 0.158 0.342 0.000 [8 per cell]
Au: 0.000 0.000 0.250 [4 per cell]


2.
VASP calculation (PBEsol) on an optimized crystal structure of Th3Au4.

- energy relative to the elements (kJ/mol of formula units) = -450
- M_tot (μB per formula unit) = 0.000
- N(E_F) (states/eV/atom) = 0.943

Lattice parameters (Å, degrees): 13.6783 13.6783 6.1563 90.00 90.00 120.00
Space group R-3 (No. 148, hexagonal axes)
Symmetry-distinct sites (fractional):
Th: 0.0470 0.8352 0.2391 [18 per cell]
Au: 0.0000 0.0000 0.0000 [3 per cell]
Au: 0.0000 0.0000 0.5000 [3 per cell]
Au: 0.0556 0.6088 0.3817 [18 per cell]


3.
VASP calculation (PBEsol) on an optimized crystal structure of ThAu2.

- energy relative to the elements (kJ/mol of formula units) = -213
- M_tot (μB per formula unit) = 0.000
- N(E_F) (states/eV/atom) = 0.514

Lattice parameters (Å, degrees): 4.7454 4.7454 3.3527 90.00 90.00 120.00
Space group P6/mmm (No. 191)
Symmetry-distinct sites (fractional):
Th: 0.0000 0.0000 0.0000 [1 per cell]
Au: 0.3333 0.6667 0.5000 [2 per cell]


4.
VASP calculation (PBEsol) on an optimized crystal structure of ThZnAu2.

- energy relative to the elements (kJ/mol of formula units) = -204
- M_tot (μB per formula unit) = 0.000
- N(E_F) (states/eV/atom) = 0.569

Lattice parameters (Å, degrees): 6.922 6.922 6.922 90.00 90.00 90.00
Space group Fm-3m (No. 225)
Symmetry-distinct sites (fractional):
Th: 0.000 0.000 0.000 [4 per cell]
Zn: 0.000 0.000 0.500 [4 per cell]
Au: 0.250 0.250 0.250 [8 per cell]


5.
VASP calculation (PBEsol) on an optimized crystal structure of TiAu2.

- energy relative to the elements (kJ/mol of formula units) = -139
- M_tot (μB per formula unit) = 0.302
- N(E_F) (states/eV/atom) = 0.557

Lattice parameters (Å, degrees): 3.409 3.409 8.458 90.00 90.00 90.00
Space group I4/mmm (No. 139)
Symmetry-distinct sites (fractional):
Ti: 0.000 0.000 0.000 [2 per cell]
Au: 0.000 0.000 0.335 [4 per cell]


6.
VASP calculation (PBEsol) on an optimized crystal structure of Ti3Au.

- energy relative to the elements (kJ/mol of formula units) = -155
- M_tot (μB per formula unit) = 0.000
- N(E_F) (states/eV/atom) = 0.998

Lattice parameters (Å, degrees): 5.032 5.032 5.032 90.00 90.00 90.00
Space group Pm-3n (No. 223)
Symmetry-distinct sites (fractional):
Ti: 0.000 0.250 0.500 [6 per cell]
Au: 0.000 0.000 0.000 [2 per cell]


E for every record listed, in sequence, given in eV/atom: -7.14; -6.38; -6.05; -4.91; -5.87; -7.62.